No. 1
DFT (GGA-PBE) results for a geometry-optimized LiReSe2 structure.

It has space group P2/m (No. 10), with a = 3.072 Å, b = 3.292 Å, c = 7.256 Å, α = 90.00°, β = 90.19° and γ = 90.00°. The asymmetric unit holds Li at (0.000, 0.000, 0.000), Re at (0.500, 0.000, 0.500) and Se at (0.498, 0.500, 0.243).

The calculation puts the relative energy among the computed polymorphs at 220 meV/atom.

***

No. 2
DFT (GGA-PBE) results for a geometry-optimized Tl3AgSb structure.

It has space group P2_1/m (No. 11), with a = 4.849 Å, b = 9.207 Å, c = 6.662 Å, α = 90.00°, β = 90.39° and γ = 90.00°. The asymmetric unit holds Tl at (0.248, 0.043, 0.233), Tl at (0.251, 0.250, 0.742), Ag at (0.248, 0.750, 0.988) and Sb at (0.252, 0.750, 0.570).

The calculation puts the relative energy among the computed polymorphs at 0 meV/atom.

***

No. 3
DFT (GGA-PBE) results for a geometry-optimized Hf2ThHg structure.

It has space group P4/mmm (No. 123), with a = 3.422 Å, b = 3.422 Å, c = 8.323 Å, α = 90.00°, β = 90.00° and γ = 90.00°. The asymmetric unit holds Hf at (0.000, 0.000, 0.225), Th at (0.500, 0.500, 0.500) and Hg at (0.500, 0.500, 0.000).

The calculation puts the relative energy among the computed polymorphs at 0 meV/atom. The energy of formation from the pure elements is 4.1 kJ/mol of atoms.

***

No. 4
DFT (GGA-PBE) results for a geometry-optimized MgCdPb structure.

It has space group P-1 (No. 2), with a = 4.651 Å, b = 5.656 Å, c = 6.731 Å, α = 107.90°, β = 90.60° and γ = 111.90°. The asymmetric unit holds Mg at (0.163, 0.327, 0.090), Cd at (0.479, 0.973, 0.216) and Pb at (0.174, 0.335, 0.598).

The energy of formation from the pure elements is 0.4 kJ/mol of atoms.

***

No. 5
DFT (GGA-PBE) results for a geometry-optimized Dy2NpSb3 structure.

It has space group Fddd (No. 70, origin choice 2), with a = 8.787 Å, b = 12.412 Å, c = 26.325 Å, α = 90.00°, β = 90.00° and γ = 90.00°. The asymmetric unit holds Dy at (0.125, 0.125, 0.042), Dy at (0.125, 0.125, 0.375), Np at (0.125, 0.125, 0.542), Sb at (0.125, 0.375, 0.042) and Sb at (0.125, 0.375, 0.375).

The value obtained for the total energy is -6.564 eV per atom.

***

No. 6
DFT (GGA-PBE) results for a geometry-optimized SiAg5Te4Cl2 structure.

It has space group Amm2 (No. 38), with a = 8.224 Å, b = 12.338 Å, c = 6.616 Å, α = 90.00°, β = 90.00° and γ = 90.00°. The asymmetric unit holds Si at (0.000, 0.000, 0.000), Ag at (0.235, 0.188, 0.436), Ag at (0.500, 0.000, 0.906), Te at (0.000, 0.169, 0.774), Te at (0.258, 0.000, 0.204) and Cl at (0.500, 0.172, 0.663).

The value obtained for the total energy is -3.174 eV per atom.

***

No. 7
DFT (GGA-PBE) results for a geometry-optimized Hf2ScS5 structure.

It has space group Fmmm (No. 69), with a = 4.762 Å, b = 12.338 Å, c = 13.469 Å, α = 90.00°, β = 90.00° and γ = 90.00°. The asymmetric unit holds Hf at (0.000, 0.000, 0.183), Sc at (0.000, 0.000, 0.500), S at (0.000, 0.000, 0.000) and S at (0.000, 0.123, 0.336).

The value obtained for the total energy is -7.152 eV per atom.

***

No. 8
DFT (GGA-PBE) results for a geometry-optimized LaEr5Ag6 structure.

It has space group Cmmm (No. 65), with a = 5.169 Å, b = 15.550 Å, c = 7.227 Å, α = 90.00°, β = 90.00° and γ = 90.00°. The asymmetric unit holds La at (0.000, 0.000, 0.000), Er at (0.000, 0.000, 0.500), Er at (0.000, 0.331, 0.000), Er at (0.000, 0.335, 0.500), Ag at (0.000, 0.172, 0.258) and Ag at (0.000, 0.500, 0.265).

The energy of formation from the pure elements is -30.2 kJ/mol of atoms.

***

No. 9
DFT (GGA-PBE) results for a geometry-optimized AcSmSbTe structure.

It has space group F-43m (No. 216), with a = 7.953 Å, b = 7.953 Å, c = 7.953 Å, α = 90.00°, β = 90.00° and γ = 90.00°. The asymmetric unit holds Ac at (0.000, 0.000, 0.000), Sm at (0.000, 0.000, 0.500), Sb at (0.250, 0.250, 0.750) and Te at (0.250, 0.250, 0.250).

The calculation puts the relative energy among the computed polymorphs at 232 meV/atom.

***

No. 10
DFT (GGA-PBE) results for a geometry-optimized CoH2Pd2 structure.

It has space group I4/mmm (No. 139), with a = 2.909 Å, b = 2.909 Å, c = 11.532 Å, α = 90.00°, β = 90.00° and γ = 90.00°. The asymmetric unit holds Co at (0.000, 0.000, 0.000), H at (0.000, 0.500, 0.250) and Pd at (0.000, 0.000, 0.352).

The calculation puts the relative energy among the computed polymorphs at 0 meV/atom.

***

No. 11
DFT (GGA-PBE) results for a geometry-optimized TlSn3F structure.

It has space group Pm-3m (No. 221), with a = 5.799 Å, b = 5.799 Å, c = 5.799 Å, α = 90.00°, β = 90.00° and γ = 90.00°. The asymmetric unit holds Tl at (0.000, 0.000, 0.000), Sn at (0.000, 0.000, 0.500) and F at (0.500, 0.500, 0.500).

The calculation puts the relative energy among the computed polymorphs at 766 meV/atom.

***

No. 12
DFT (GGA-PBE) results for a geometry-optimized CePrAg2 structure.

It has space group P4/mmm (No. 123), with a = 5.354 Å, b = 5.354 Å, c = 3.704 Å, α = 90.00°, β = 90.00° and γ = 90.00°. The asymmetric unit holds Ce at (0.000, 0.000, 0.000), Pr at (0.500, 0.500, 0.000) and Ag at (0.000, 0.500, 0.500).

The calculation puts the relative energy among the computed polymorphs at 0 meV/atom. The energy of formation from the pure elements is -13.4 kJ/mol of atoms.

***

Number 1: density of states at the Fermi level 3.330 states/eV/f.u.. Number 2: density of states at the Fermi level 1.960 states/eV/f.u.. Number 3: density of states at the Fermi level 3.970 states/eV/f.u.. Number 4: density of states at the Fermi level 1.105 states/eV/f.u.. Number 5: density of states at the Fermi level 12.251 states/eV/f.u.. Number 6: density of states at the Fermi level 8.621 states/eV/f.u.. Number 7: density of states at the Fermi level 2.137 states/eV/f.u.. Number 8: density of states at the Fermi level 6.178 states/eV/f.u.. Number 9: density of states at the Fermi level 3.697 states/eV/f.u.. Number 10: density of states at the Fermi level 5.337 states/eV/f.u.. Number 11: density of states at the Fermi level 3.258 states/eV/f.u.. Number 12: density of states at the Fermi level 9.549 states/eV/f.u..